An optimized crystal structure of Hg2WF. Source: Alexandria via LeMat-Bulk, functional GGA+U.

Unit cell a=3.996 b=3.996 c=11.803 alpha=80.25 beta=80.25 gamma=90.00
Fractional positions:
Hg 0.127 0.625 0.250
Hg 0.375 0.377 0.750
Hg 0.875 0.873 0.750
Hg 0.623 0.125 0.250
W 0.750 0.250 0.500
W 0.000 0.000 0.000
F 0.500 0.500 0.000
F 0.250 0.750 0.500

Calculated values
As for the spin magnetization: 1.0414 μB/atom. The relative energy among the computed polymorphs is 0.0 meV/atom.